Pr3HoN | PBE | relaxed

Structure (POSCAR):
```
Pr3HoN
1.0
5.1852 0.0000 0.0000
0.0000 5.1852 0.0000
0.0000 0.0000 5.1852
N Pr Ho
1 3 1
Direct
0.0000 0.0000 0.0000
0.5000 0.0000 0.0000
0.0000 0.0000 0.5000
0.0000 0.5000 0.0000
0.5000 0.5000 0.5000
```

Summary:
Space-group type   Pm-3m (221)

PrHo2N3 | PBE | relaxed

Structure (POSCAR):
```
PrHo2N3
1.0
6.0376 -0.0206 -1.0090
-3.2547 5.0853 -1.0090
-0.0107 -0.0194 6.1205
Pr N Ho
2 6 4
Direct
0.6663 0.3337 0.0000
0.0003 0.9997 0.0000
0.4199 0.0767 0.2596
0.7433 0.7532 0.2596
0.0962 0.4295 0.2594
0.2468 0.2567 0.7404
0.9233 0.5801 0.7404
0.5705 0.9038 0.7406
0.4977 0.5023 0.5000
0.3333 0.6667 0.0000
0.1690 0.8310 0.5000
0.8333 0.1667 0.5000
```

Summary:
Space-group type   C2/m (12)

PrHoN | PBE | relaxed

Structure (POSCAR):
```
PrHoN
1.0
-1.4194 0.0318 -3.1450
2.5561 -1.9988 -1.1738
-4.1601 -4.5290 3.7247
N Ho Pr
1 1 1
Direct
0.7471 0.7471 0.4942
0.9041 0.9041 0.8082
0.1988 0.1988 0.3976
```

Summary:
Space-group type   I4mm (107)

PrHo3N | PBE | relaxed

Structure (POSCAR):
```
PrHo3N
1.0
4.9681 0.0000 0.0000
0.0000 4.9681 0.0000
0.0000 0.0000 4.9681
Ho N Pr
3 1 1
Direct
0.5000 0.0000 0.0000
0.0000 0.0000 0.5000
0.0000 0.5000 0.0000
0.0000 0.0000 0.0000
0.5000 0.5000 0.5000
```

Summary:
Space-group type   Pm-3m (221)

PrHo2N | PBE | relaxed

Structure (POSCAR):
```
PrHo2N
1.0
-3.2091 0.3377 -1.2132
-2.6873 -0.9153 1.9557
-2.3864 8.7255 3.8431
N Ho Pr
1 2 1
Direct
0.5000 0.5000 0.5000
0.1209 0.1209 0.6373
0.8791 0.8791 0.3627
0.0000 0.0000 0.0000
```

Summary:
Space-group type   R-3m (166)

Pr2HoN | PBE | relaxed

Structure (POSCAR):
```
Pr2HoN
1.0
3.6019 0.0000 0.0000
1.8010 3.1193 0.0000
1.8010 1.0398 9.7441
Ho Pr N
1 2 1
Direct
0.0000 0.0000 0.0000
0.8813 0.8813 0.3562
0.1187 0.1187 0.6438
0.5000 0.5000 0.5000
```

Summary:
Space-group type   R-3m (166)

PrHo3N4 | PBE | relaxed

Structure (POSCAR):
```
PrHo3N4
1.0
6.0828 0.0550 0.0000
-2.0799 5.7183 0.0000
0.0000 0.0000 7.0360
Ho N Pr
6 8 2
Direct
0.7500 0.5000 0.1308
0.7500 0.5000 0.6238
0.7500 0.0000 0.3769
0.2500 0.0000 0.6231
0.2500 0.5000 0.8692
0.2500 0.5000 0.3762
0.5075 0.2533 0.3788
0.0076 0.2533 0.6212
0.4970 0.2610 0.8649
0.0030 0.7390 0.8649
0.9924 0.7467 0.3788
0.9970 0.2610 0.1351
0.5030 0.7390 0.1351
0.4924 0.7467 0.6212
0.7500 0.0000 0.8727
0.2500 0.0000 0.1273
```

Summary:
Space-group type   P2/c (13)

Pr5HoN6 | PBE | relaxed

Structure (POSCAR):
```
Pr5HoN6
1.0
-3.5735 -5.1685 -0.7174
-0.7163 -2.8627 5.5987
-4.8592 1.5490 3.7474
Pr N Ho
5 6 1
Direct
0.0000 0.3331 0.3339
0.5000 0.1651 0.6698
0.0000 0.6669 0.6661
0.5000 0.8349 0.3302
0.5000 0.5000 0.0000
0.2462 0.2420 0.0000
0.7538 0.7580 0.0000
0.2443 0.5949 0.3237
0.2443 0.9186 0.6763
0.7557 0.4051 0.6763
0.7557 0.0814 0.3237
0.0000 0.0000 0.0000
```

Summary:
Space-group type   C2/m (12)

no.,ΔE_f (raw) (eV/atom)
1,-0.43
2,-1.56
3,-0.65
4,-0.50
5,-0.71
6,-0.50
7,-1.60
8,-1.34